K2Y2SiS6: relaxed, PBE.

Values from the calculation:
The uncorrected formation energy is -15.7 eV per formula unit.

Cell and atoms, written as CIF:
```
data_K2Y2SiS6
_chemical_formula_sum 'K4 Y4 Si2 S12'
_cell_length_a 6.7194
_cell_length_b 11.4769
_cell_length_c 7.8433
_cell_angle_alpha 90.00
_cell_angle_beta 107.40
_cell_angle_gamma 90.00
_symmetry_space_group_name_H-M 'C 1 2/m 1'
_symmetry_Int_Tables_number 12
loop_
_symmetry_equiv_pos_as_xyz
'x,y,z'
'-x,-y,-z'
'-x,y,-z'
'x,-y,z'
'x+1/2,y+1/2,z'
'-x+1/2,-y+1/2,-z'
'-x+1/2,y+1/2,-z'
'x+1/2,-y+1/2,z'
loop_
_atom_site_label
_atom_site_type_symbol
_atom_site_fract_x
_atom_site_fract_y
_atom_site_fract_z
K1 K 0.0000 0.1731 0.0000
Y1 Y 0.0000 0.3324 0.5000
Si1 Si 0.0000 0.0000 0.5000
S1 S 0.2132 0.1471 0.6865
S2 S 0.2216 0.0000 0.3197
```



K3Y3SiS8: relaxed, PBE.

Values from the calculation:
The uncorrected formation energy is -23.2 eV per formula unit.

Cell and atoms, written as CIF:
```
data_K3Y3SiS8
_chemical_formula_sum 'K9 Y9 Si3 S24'
_cell_length_a 7.8318
_cell_length_b 7.8318
_cell_length_c 22.5494
_cell_angle_alpha 90.00
_cell_angle_beta 90.00
_cell_angle_gamma 120.00
_symmetry_space_group_name_H-M 'R -3 m'
_symmetry_Int_Tables_number 166
_symmetry_space_group_name_Hall '-R 3 2"'
loop_
_atom_site_label
_atom_site_type_symbol
_atom_site_fract_x
_atom_site_fract_y
_atom_site_fract_z
K1 K 0.0000 0.5000 0.0000
Y1 Y 0.0000 0.5000 0.5000
Si1 Si 0.0000 0.0000 0.5000
S1 S 0.0000 0.0000 0.2341
S2 S 0.0415 0.5208 0.2273
```



KZr2SiS: relaxed, PBE.

Values from the calculation:
The uncorrected formation energy is 1.2 eV per formula unit.

Cell and atoms, written as CIF:
```
data_KZr2SiS
_chemical_formula_sum 'K1 Zr2 Si1 S1'
_cell_length_a 4.9109
_cell_length_b 4.9109
_cell_length_c 5.1501
_cell_angle_alpha 90.00
_cell_angle_beta 90.00
_cell_angle_gamma 90.00
_symmetry_space_group_name_H-M 'P 4/m m m'
_symmetry_Int_Tables_number 123
_symmetry_space_group_name_Hall '-P 4 2'
loop_
_atom_site_label
_atom_site_type_symbol
_atom_site_fract_x
_atom_site_fract_y
_atom_site_fract_z
K1 K 0.0000 0.0000 0.0000
Zr1 Zr 0.0000 0.5000 0.5000
Si1 Si 0.5000 0.5000 0.0000
S1 S 0.5000 0.5000 0.5000
```



KSmS2: relaxed, PBE.

Values from the calculation:
The uncorrected formation energy is -7.5 eV per formula unit.

Cell and atoms, written as CIF:
```
data_KSmS2
_chemical_formula_sum 'K3 Sm3 S6'
_cell_length_a 4.1448
_cell_length_b 4.1448
_cell_length_c 22.1613
_cell_angle_alpha 90.00
_cell_angle_beta 90.00
_cell_angle_gamma 120.00
_symmetry_space_group_name_H-M 'R -3 m'
_symmetry_Int_Tables_number 166
_symmetry_space_group_name_Hall '-R 3 2"'
loop_
_atom_site_label
_atom_site_type_symbol
_atom_site_fract_x
_atom_site_fract_y
_atom_site_fract_z
K1 K 0.0000 0.0000 0.0000
Sm1 Sm 0.0000 0.0000 0.5000
S1 S 0.0000 0.0000 0.2351
```



KSm6S8: relaxed, PBE.

Values from the calculation:
The uncorrected formation energy is -26.8 eV per formula unit.

Cell and atoms, written as CIF:
```
data_KSm6S8
_chemical_formula_sum 'K3 Sm18 S24'
_cell_length_a 11.8058
_cell_length_b 11.8058
_cell_length_c 12.5662
_cell_angle_alpha 90.00
_cell_angle_beta 90.00
_cell_angle_gamma 120.00
_symmetry_space_group_name_H-M 'R -3'
_symmetry_Int_Tables_number 148
_symmetry_space_group_name_Hall '-R 3'
loop_
_atom_site_label
_atom_site_type_symbol
_atom_site_fract_x
_atom_site_fract_y
_atom_site_fract_z
K1 K 0.0000 0.0000 0.0000
Sm1 Sm 0.0013 0.8147 0.6244
S1 S 0.0000 0.0000 0.2451
S2 S 0.0024 0.2660 0.5869
```



KSm3S4: relaxed, PBE.

Values from the calculation:
The uncorrected formation energy is -15.5 eV per formula unit.

Cell and atoms, written as CIF:
```
data_KSm3S4
_chemical_formula_sum 'K2 Sm6 S8'
_cell_length_a 4.0693
_cell_length_b 4.0693
_cell_length_c 27.8691
_cell_angle_alpha 90.00
_cell_angle_beta 90.00
_cell_angle_gamma 120.00
_symmetry_space_group_name_H-M 'P 63/m m c'
_symmetry_Int_Tables_number 194
_symmetry_space_group_name_Hall '-P 6c 2c'
loop_
_atom_site_label
_atom_site_type_symbol
_atom_site_fract_x
_atom_site_fract_y
_atom_site_fract_z
K1 K 0.3333 0.6667 0.2500
Sm1 Sm 0.0000 0.0000 0.0000
Sm2 Sm 0.3333 0.6667 0.6164
S1 S 0.0000 0.0000 0.1714
S2 S 0.3333 0.6667 0.0584
```